# SrErTl

SrErTl after structural relaxation (PBE-GGA, Alexandria via LeMat-Bulk).

Lattice parameters (Å, degrees): 5.4262 5.4262 3.9998 90.00 90.00 120.00
Last column: nearest neighbours and their distance in Å.
Space group P3m1 (No. 156)
Asymmetric unit:
Sr (0.0000, 0.0000, 0.0000) (multiplicity 1)  6 Tl 3.60-3.85, 6 Er 3.68-3.76, 2 Sr 4.00
Er (0.3333, 0.6667, 0.5195) (multiplicity 1)  3 Tl 3.15
Tl (0.6667, 0.3333, 0.4421) (multiplicity 1)  3 Er 3.15

Calculated values
As for the crystal system: trigonal. The offset from the most stable computed form is 161.3 meV per atom. The calculation puts the size of the total moment at 0.0 Bohr magnetons per cell. As for the formation energy: -0.11 eV per atom.

***

# Sr5ErTl6

Sr5ErTl6 after structural relaxation (PBE-GGA, Alexandria via LeMat-Bulk).

Lattice parameters (Å, degrees): 5.7181 8.0437 9.0542 90.00 108.13 90.00
Last column: nearest neighbours and their distance in Å.
Space group P2/m (No. 10)
Asymmetric unit:
Sr (0.0000, 0.0000, 0.0000) (multiplicity 1)  8 Tl 3.45-3.59
Sr (0.3293, 0.0000, 0.6590) (multiplicity 2)  8 Tl 3.57-3.65, 2 Sr 3.95-3.97
Sr (0.3300, 0.5000, 0.6610) (multiplicity 2)  8 Tl 3.43-3.52
Er (0.0000, 0.5000, 0.0000) (multiplicity 1)  8 Tl 3.31-3.41
Tl (0.1578, 0.2652, 0.3153) (multiplicity 4)  1 Er 3.31, 7 Sr 3.43-3.65
Tl (0.5000, 0.2696, 0.0000) (multiplicity 2)  2 Er 3.41, 6 Sr 3.46-3.65, 1 Tl 3.71

Calculated values
As for the crystal system: monoclinic. The calculation puts the size of the total moment at 0.0 Bohr magnetons per cell. As for the formation energy: -0.40 eV per atom.

***

# SrErTl

SrErTl after structural relaxation (PBE-GGA, Alexandria via LeMat-Bulk).

Lattice parameters (Å, degrees): 3.8799 3.8799 13.7327 90.00 90.00 90.00
Last column: nearest neighbours and their distance in Å.
Space group I4mm (No. 107)
Asymmetric unit:
Sr (0.0000, 0.0000, 0.0000) (multiplicity 2)  4 Tl 3.57, 4 Sr 3.88, 1 Er 3.91
Er (0.0000, 0.0000, 0.2845) (multiplicity 2)  4 Tl 3.18
Tl (0.0000, 0.0000, 0.6668) (multiplicity 2)  4 Er 3.18

Calculated values
As for the crystal system: tetragonal. The offset from the most stable computed form is 118.6 meV per atom. The calculation puts the size of the total moment at 0.0 Bohr magnetons per cell. As for the formation energy: -0.15 eV per atom.

***

# Sr2Er3Tl4

Sr2Er3Tl4 after structural relaxation (PBE-GGA, Alexandria via LeMat-Bulk).

Lattice parameters (Å, degrees): 7.2561 17.9440 8.9016 90.00 90.00 90.00
Last column: nearest neighbours and their distance in Å.
Space group Cmce (No. 64)
Asymmetric unit:
Sr (0.0000, 0.1055, 0.0868) (multiplicity 8)  8 Tl 3.61-4.02, 2 Er 3.85
Er (0.0000, 0.0000, 0.5000) (multiplicity 4)  6 Tl 3.03-3.23
Er (0.2500, 0.2237, 0.7500) (multiplicity 8)  5 Tl 3.06-3.23
Tl (0.0000, 0.1792, 0.4640) (multiplicity 8)  5 Er 3.16-3.23
Tl (0.2500, 0.0534, 0.7500) (multiplicity 8)  3 Er 3.03-3.06

Calculated values
As for the crystal system: orthorhombic. The calculation puts the size of the total moment at 0.0 Bohr magnetons per cell. As for the formation energy: -0.24 eV per atom.